(P)
A geometry-optimized Tl2TcOs structure, computed with GGA-PBE.

a b c (Å): 3.0197 3.0197 9.0093
angles (deg): 90.00 90.00 90.00
Element x y z (fractional)
Tl (0.0000, 0.0000, 0.0000)
Tl (0.5000, 0.5000, 0.3338)
Tc (0.5000, 0.5000, 0.7482)
Os (0.0000, 0.0000, 0.5901)

**Crystal system**: tetragonal
**D(E_F)**: 3.90 states/eV/cell

=====

(Q)
A geometry-optimized Tl2TcOs structure, computed with GGA-PBE.

a b c (Å): 4.8219 3.0839 5.3813
angles (deg): 90.00 111.98 90.00
Element x y z (fractional)
Tl (0.0000, 0.0000, 0.0000)
Tl (0.0000, 0.5000, 0.5000)
Tc (0.5000, 0.0000, 0.5000)
Os (0.5000, 0.5000, 0.0000)

**Crystal system**: monoclinic
**D(E_F)**: 4.02 states/eV/cell

=====

Q: What are the energies relative to the best structure? A: (P) 0.000; (Q) 0.529, in eV/atom.

=====

(P)
A geometry-optimized MoC structure, computed with GGA-PBE.

a b c (Å): 4.4576 4.4576 5.6676
angles (deg): 90.00 90.00 120.00
Element x y z (fractional)
Mo (0.0000, 0.0000, 0.2500)
Mo (0.0000, 0.0000, 0.7500)
Mo (0.3333, 0.6667, 0.2500)
Mo (0.6667, 0.3333, 0.7500)
C (0.3333, 0.6667, 0.6337)
C (0.3333, 0.6667, 0.8663)
C (0.6667, 0.3333, 0.1337)
C (0.6667, 0.3333, 0.3663)

**Crystal system**: hexagonal
**D(E_F)**: 8.02 states/eV/cell

=====

(Q)
A geometry-optimized MoC structure, computed with GGA-PBE.

a b c (Å): 5.3578 5.3578 5.3578
angles (deg): 34.15 34.15 34.15
Element x y z (fractional)
Mo (0.0911, 0.0911, 0.0911)
Mo (0.9089, 0.9089, 0.9089)
C (0.3287, 0.3287, 0.3287)
C (0.6713, 0.6713, 0.6713)

**Crystal system**: trigonal
**D(E_F)**: 1.70 states/eV/cell

=====

Q: What are the energies relative to the best structure? A: (P) 0.119; (Q) 0.000, in eV/atom.